# 1
Entry from the Alexandria database: a geometry-optimized Cs2CeI7 structure (PBE-GGA).

```
data_Cs2CeI7
_chemical_formula_sum 'Cs8 Ce4 I28'
_cell_length_a 13.272
_cell_length_b 13.272
_cell_length_c 13.272
_cell_angle_alpha 90.00
_cell_angle_beta 90.00
_cell_angle_gamma 90.00
_symmetry_space_group_name_H-M 'F m -3 m'
_symmetry_Int_Tables_number 225
_symmetry_space_group_name_Hall '-F 4 2 3'
loop_
_atom_site_label
_atom_site_type_symbol
_atom_site_fract_x
_atom_site_fract_y
_atom_site_fract_z
Cs1 Cs 0.250 0.250 0.250
Ce1 Ce 0.000 0.000 0.000
I1 I 0.000 0.000 0.229
I2 I 0.000 0.000 0.500
```

Results
The energy above the most stable polymorph in this dataset comes out at 0.79 eV/f.u. Its volume is 58.4 Å³ per atom. The value obtained for the energy is -2.930 eV/atom.


# 2
Entry from the Alexandria database: a geometry-optimized BiMo2H structure (PBE-GGA).

```
data_BiMo2H
_chemical_formula_sum 'Bi4 Mo8 H4'
_cell_length_a 6.385
_cell_length_b 6.385
_cell_length_c 6.385
_cell_angle_alpha 90.00
_cell_angle_beta 90.00
_cell_angle_gamma 90.00
_symmetry_space_group_name_H-M 'F m -3 m'
_symmetry_Int_Tables_number 225
_symmetry_space_group_name_Hall '-F 4 2 3'
loop_
_atom_site_label
_atom_site_type_symbol
_atom_site_fract_x
_atom_site_fract_y
_atom_site_fract_z
Bi1 Bi 0.000 0.000 0.000
Mo1 Mo 0.250 0.250 0.250
H1 H 0.000 0.000 0.500
```

Results
The energy above the most stable polymorph in this dataset comes out at 2.86 eV/f.u. Its volume is 16.3 Å³ per atom. The value obtained for the energy is -5.934 eV/atom.


# 3
Entry from the Alexandria database: a geometry-optimized Pu3FeNi8 structure (PBE-GGA).

```
data_Pu3FeNi8
_chemical_formula_sum 'Pu9 Fe3 Ni24'
_cell_length_a 4.9436
_cell_length_b 4.9436
_cell_length_c 24.2744
_cell_angle_alpha 90.00
_cell_angle_beta 90.00
_cell_angle_gamma 120.00
_symmetry_space_group_name_H-M 'R 3 m'
_symmetry_Int_Tables_number 160
_symmetry_space_group_name_Hall 'R 3 -2"'
loop_
_atom_site_label
_atom_site_type_symbol
_atom_site_fract_x
_atom_site_fract_y
_atom_site_fract_z
Pu1 Pu 0.0000 0.0000 0.0000
Pu2 Pu 0.0000 0.0000 0.1266
Pu3 Pu 0.0000 0.0000 0.6241
Fe1 Fe 0.0000 0.0000 0.5013
Ni1 Ni 0.0000 0.0000 0.3123
Ni2 Ni 0.0000 0.0000 0.8129
Ni3 Ni 0.0044 0.5022 0.0656
Ni4 Ni 0.1678 0.3356 0.8928
```

Results
Its volume is 14.3 Å³ per atom. The value obtained for the energy is -8.274 eV/atom. The energy of formation is -1.6 eV/f.u.


# 4
Entry from the Alexandria database: a geometry-optimized SrLi2SiPd structure (PBE-GGA).

```
data_SrLi2SiPd
_chemical_formula_sum 'Sr1 Li2 Si1 Pd1'
_cell_length_a 4.852
_cell_length_b 4.852
_cell_length_c 4.660
_cell_angle_alpha 90.00
_cell_angle_beta 90.00
_cell_angle_gamma 90.00
_symmetry_space_group_name_H-M 'P 4/m m m'
_symmetry_Int_Tables_number 123
_symmetry_space_group_name_Hall '-P 4 2'
loop_
_atom_site_label
_atom_site_type_symbol
_atom_site_fract_x
_atom_site_fract_y
_atom_site_fract_z
Sr1 Sr 0.000 0.000 0.000
Li1 Li 0.000 0.500 0.500
Si1 Si 0.500 0.500 0.000
Pd1 Pd 0.500 0.500 0.500
```

Results
The energy above the most stable polymorph in this dataset comes out at 0.00 eV/f.u. Its volume is 21.9 Å³ per atom. The value obtained for the energy is -3.564 eV/atom.